MgMnPbF6: optimized geometry, PBE+U.

Values from the calculation:
Total energy: -5.54 eV per atom

Geometry as POSCAR:
```
MgMnPbF6
1.0
-4.959 -0.099 2.419
4.375 -2.151 2.586
1.957 9.262 4.392
F Pb Mg Mn
12 2 2 2
direct
0.628 0.983 0.857 F
0.983 0.628 0.357 F
0.017 0.645 0.857 F
0.372 0.355 0.357 F
0.355 0.372 0.857 F
0.645 0.628 0.143 F
0.372 0.017 0.143 F
0.017 0.372 0.643 F
0.645 0.017 0.357 F
0.983 0.355 0.143 F
0.628 0.645 0.643 F
0.355 0.983 0.643 F
0.000 0.000 0.000 Pb
0.000 0.000 0.500 Pb
0.667 0.333 0.250 Mg
0.333 0.667 0.750 Mg
0.333 0.667 0.250 Mn
0.667 0.333 0.750 Mn
```

---

RbMgMnF6: optimized geometry, PBE+U.

Values from the calculation:
Total energy: -5.16 eV per atom

Geometry as POSCAR:
```
RbMgMnF6
1.0
5.307 0.008 0.000
2.661 4.609 -0.004
-0.003 0.002 6.116
F Mg Rb Mn
6 1 1 1
direct
0.626 0.384 0.677 F
0.626 0.990 0.323 F
0.987 0.388 0.323 F
0.385 0.627 0.325 F
0.987 0.626 0.677 F
0.385 0.988 0.675 F
0.334 0.333 0.500 Mg
0.002 0.999 0.000 Rb
0.668 0.666 0.500 Mn
```

---

Rb3Mg2MnF9: optimized geometry, PBE+U.

Values from the calculation:
Total energy: -5.12 eV per atom

Geometry as POSCAR:
```
Rb3Mg2MnF9
1.0
-1.796 4.185 -3.772
-3.845 -4.018 2.008
-1.617 4.336 5.581
Mg F Rb Mn
2 9 3 1
direct
0.333 0.667 0.160 Mg
0.667 0.333 0.840 Mg
0.172 0.828 0.326 F
0.000 0.500 0.000 F
0.828 0.657 0.674 F
0.343 0.172 0.674 F
0.172 0.343 0.326 F
0.500 0.500 0.000 F
0.657 0.828 0.326 F
0.500 0.000 0.000 F
0.828 0.172 0.674 F
0.000 0.000 0.000 Rb
0.333 0.667 0.666 Rb
0.667 0.333 0.334 Rb
0.000 0.000 0.500 Mn
```

---

Rb4Mg3MnF12: optimized geometry, PBE+U.

Values from the calculation:
Total energy: -5.06 eV per atom

Geometry as POSCAR:
```
Rb4Mg3MnF12
1.0
-1.847 0.763 -6.941
4.976 -5.200 0.609
-5.836 -1.788 3.862
Rb Mn F Mg
4 1 12 3
direct
0.000 0.500 0.000 Rb
0.500 0.000 0.000 Rb
0.000 0.000 0.500 Rb
0.500 0.500 0.500 Rb
0.000 0.000 0.000 Mn
0.258 0.000 0.258 F
0.750 0.250 0.500 F
0.000 0.742 0.742 F
0.742 0.742 0.000 F
0.500 0.750 0.250 F
0.258 0.258 0.000 F
0.750 0.500 0.250 F
0.000 0.258 0.258 F
0.250 0.750 0.500 F
0.742 0.000 0.742 F
0.250 0.500 0.750 F
0.500 0.250 0.750 F
0.500 0.000 0.500 Mg
0.500 0.500 0.000 Mg
0.000 0.500 0.500 Mg
```

---

MgMnRhF2: optimized geometry, PBE+U.

Values from the calculation:
Total energy: -5.11 eV per atom

Geometry as POSCAR:
```
MgMnRhF2
1.0
-0.098 3.423 -1.880
-4.150 -1.866 -3.179
-2.592 1.349 2.592
Mg F Mn Rh
1 2 1 1
direct
0.500 0.500 0.500 Mg
0.000 0.000 0.500 F
0.500 0.000 0.000 F
0.000 0.000 0.000 Mn
0.000 0.500 0.000 Rh
```

---

MgMnSnF6: optimized geometry, PBE+U.

Values from the calculation:
Total energy: -5.51 eV per atom

Geometry as POSCAR:
```
MgMnSnF6
1.0
-4.399 2.516 -2.145
-1.376 -0.866 -5.258
-2.933 -3.922 1.414
Sn F Mn Mg
1 6 1 1
direct
0.000 0.000 0.000 Sn
0.632 0.016 0.283 F
0.632 0.351 0.717 F
0.351 0.017 0.717 F
0.016 0.351 0.283 F
0.351 0.632 0.283 F
0.016 0.633 0.717 F
0.667 0.667 0.500 Mn
0.333 0.333 0.500 Mg
```

---

MgMnTl2F6: optimized geometry, PBE+U.

Values from the calculation:
Total energy: -5.10 eV per atom

Geometry as POSCAR:
```
MgMnTl2F6
1.0
5.978 0.000 0.000
0.000 5.979 0.000
0.000 0.000 8.429
F Mg Mn Tl
12 2 2 4
direct
0.758 0.508 0.000 F
0.758 0.992 0.000 F
0.500 0.250 0.743 F
0.258 0.008 0.500 F
0.000 0.750 0.243 F
0.500 0.250 0.257 F
0.258 0.492 0.500 F
0.742 0.492 0.500 F
0.742 0.008 0.500 F
0.000 0.750 0.757 F
0.242 0.508 0.000 F
0.242 0.992 0.000 F
0.000 0.750 0.000 Mg
0.500 0.250 0.500 Mg
0.000 0.750 0.500 Mn
0.500 0.250 0.000 Mn
0.000 0.250 0.750 Tl
0.500 0.750 0.750 Tl
0.500 0.750 0.250 Tl
0.000 0.250 0.250 Tl
```

---

Mg2MnTlF: optimized geometry, PBE+U.

Values from the calculation:
Total energy: -3.25 eV per atom

Geometry as POSCAR:
```
Mg2MnTlF
1.0
-3.432 -3.617 -2.866
1.023 -2.905 2.441
-4.365 1.386 3.478
Mg F Tl Mn
2 1 1 1
direct
0.000 0.000 0.500 Mg
0.500 0.000 0.000 Mg
0.000 0.500 0.000 F
0.500 0.500 0.500 Tl
0.000 0.000 0.000 Mn
```

---

MgMnZnF6: optimized geometry, PBE+U.

Values from the calculation:
Total energy: -5.23 eV per atom

Geometry as POSCAR:
```
MgMnZnF6
1.0
5.244 0.000 0.000
-2.622 4.541 0.000
0.000 0.000 9.285
F Zn Mg Mn
12 2 2 2
direct
0.008 0.662 0.367 F
0.992 0.654 0.867 F
0.662 0.008 0.867 F
0.992 0.338 0.633 F
0.008 0.346 0.133 F
0.654 0.662 0.133 F
0.338 0.346 0.367 F
0.346 0.338 0.867 F
0.662 0.654 0.633 F
0.338 0.992 0.133 F
0.346 0.008 0.633 F
0.654 0.992 0.367 F
0.667 0.333 0.250 Zn
0.333 0.667 0.750 Zn
0.333 0.667 0.250 Mg
0.667 0.333 0.750 Mg
0.000 0.000 0.000 Mn
0.000 0.000 0.500 Mn
```

---

MgMo3F: optimized geometry, PBE+U.

Values from the calculation:
Relative energy among the computed polymorphs: 2.105 eV/f.u.

Geometry as POSCAR:
```
MgMo3F
1.0
5.432 0.000 0.000
0.000 5.432 0.000
0.000 0.000 5.432
Mo F Mg
3 1 1
direct
0.500 0.000 0.000 Mo
0.000 0.000 0.500 Mo
0.000 0.500 0.000 Mo
0.500 0.500 0.500 F
0.000 0.000 0.000 Mg
```

---

MgMoF2: optimized geometry, PBE+U.

Values from the calculation:
Relative energy among the computed polymorphs: 2.524 eV/f.u.

Geometry as POSCAR:
```
MgMoF2
1.0
-3.909 -1.881 1.017
-3.594 0.842 -2.496
-1.689 -3.184 -2.619
F Mg Mo
2 1 1
direct
0.750 0.750 0.750 F
0.250 0.250 0.250 F
0.000 0.000 0.000 Mg
0.500 0.500 0.500 Mo
```

---

MgMoF2: optimized geometry, PBE+U.

Values from the calculation:
Relative energy among the computed polymorphs: 0.756 eV/f.u.

Geometry as POSCAR:
```
MgMoF2
1.0
0.566 -8.876 1.356
2.905 -8.512 -0.234
3.012 -8.075 2.582
F Mg Mo
2 1 1
direct
0.128 0.128 0.128 F
0.872 0.872 0.872 F
0.500 0.500 0.500 Mg
0.000 0.000 0.000 Mo
```

---

MgMo2F: optimized geometry, PBE+U.

Values from the calculation:
Relative energy among the computed polymorphs: 0.000 eV/f.u.

Geometry as POSCAR:
```
MgMo2F
1.0
4.469 0.000 0.000
0.000 4.469 0.000
2.234 2.234 9.700
Mo Mg F
4 2 2
direct
0.875 0.860 0.750 Mo
0.610 0.125 0.250 Mo
0.375 0.390 0.750 Mo
0.140 0.625 0.250 Mo
0.750 0.250 0.500 Mg
0.000 0.000 0.000 Mg
0.250 0.750 0.500 F
0.500 0.500 0.000 F
```

---

MgMoF6: optimized geometry, PBE+U.

Values from the calculation:
Total energy: -5.42 eV per atom

Geometry as POSCAR:
```
MgMoF6
1.0
-3.441 2.411 3.742
1.003 -0.043 5.536
1.391 4.627 2.884
F Mg Mo
6 1 1
direct
0.754 0.337 0.162 F
0.663 0.838 0.246 F
0.838 0.246 0.663 F
0.337 0.162 0.754 F
0.246 0.663 0.838 F
0.162 0.754 0.337 F
0.500 0.500 0.500 Mg
0.000 0.000 0.000 Mo
```

---

Mg2MoF: optimized geometry, PBE+U.

Values from the calculation:
Relative energy among the computed polymorphs: 0.000 eV/f.u.

Geometry as POSCAR:
```
Mg2MoF
1.0
-0.810 5.720 -3.468
-6.688 -0.619 0.541
-3.677 4.359 1.503
F Mg Mo
2 4 2
direct
0.500 0.500 0.000 F
0.250 0.750 0.500 F
0.229 0.625 0.250 Mg
0.875 0.771 0.750 Mg
0.375 0.479 0.750 Mg
0.521 0.125 0.250 Mg
0.000 0.000 0.000 Mo
0.750 0.250 0.500 Mo
```

---

MgMoF6: optimized geometry, PBE+U.

Values from the calculation:
Total energy: -5.34 eV per atom

Geometry as POSCAR:
```
MgMoF6
1.0
-0.735 1.916 4.640
-0.299 -5.011 -0.732
5.081 0.278 0.054
F Mo Mg
6 1 1
direct
0.397 0.106 0.253 F
0.747 0.747 0.251 F
0.894 0.603 0.747 F
0.253 0.253 0.749 F
0.106 0.397 0.253 F
0.603 0.894 0.747 F
0.500 0.500 0.500 Mo
0.000 0.000 0.000 Mg
```

---

Mg2MoF: optimized geometry, PBE+U.

Values from the calculation:
Relative energy among the computed polymorphs: 2.049 eV/f.u.

Geometry as POSCAR:
```
Mg2MoF
1.0
0.000 3.472 3.472
3.472 0.000 3.472
3.472 3.472 0.000
Mg F Mo
2 1 1
direct
0.250 0.250 0.250 Mg
0.750 0.750 0.750 Mg
0.000 0.000 0.000 F
0.500 0.500 0.500 Mo
```

---

MgMoF2: optimized geometry, PBE+U.

Values from the calculation:
Relative energy among the computed polymorphs: 0.000 eV/f.u.

Geometry as POSCAR:
```
MgMoF2
1.0
6.035 0.000 0.000
0.000 6.035 0.000
3.018 3.018 4.531
F Mg Mo
4 2 2
direct
0.406 0.125 0.250 F
0.875 0.656 0.750 F
0.375 0.594 0.750 F
0.344 0.625 0.250 F
0.500 0.500 0.000 Mg
0.250 0.750 0.500 Mg
0.000 0.000 0.000 Mo
0.750 0.250 0.500 Mo
```

---

MgMoF2: optimized geometry, PBE+U.

Values from the calculation:
Relative energy among the computed polymorphs: 2.268 eV/f.u.

Geometry as POSCAR:
```
MgMoF2
1.0
-7.550 -0.928 1.269
-6.431 -0.995 4.140
-6.994 1.707 2.767
Mo F Mg
1 2 1
direct
0.500 0.500 0.500 Mo
0.901 0.901 0.901 F
0.099 0.099 0.099 F
0.000 0.000 0.000 Mg
```

---

MgMo3F: optimized geometry, PBE+U.

Values from the calculation:
Relative energy among the computed polymorphs: 0.000 eV/f.u.

Geometry as POSCAR:
```
MgMo3F
1.0
-2.344 0.488 -3.577
-1.352 -4.073 0.330
-3.347 1.303 2.372
F Mo Mg
1 3 1
direct
0.000 0.000 0.000 F
0.500 0.000 0.000 Mo
0.000 0.500 0.000 Mo
0.000 0.000 0.500 Mo
0.500 0.500 0.500 Mg
```